Entry 1:
# MnRuPt2 | Alexandria via LeMat-Bulk | PBEsol | optimized geometry
# - spin magnetization (μB per cell) = 4.6
# - formation enthalpy at 0 K (eV/atom) = -0.08
# - energy (eV per atom) = -8.544
data_MnRuPt2
_chemical_formula_sum 'Mn2 Ru2 Pt4'
_space_group_name_H-M_alt 'I -4 m 2'
_space_group_IT_number 119
_space_group_name_Hall 'I -4 -2'
_cell_length_a 3.811
_cell_length_b 3.811
_cell_length_c 7.609
_cell_angle_alpha 90.00
_cell_angle_beta 90.00
_cell_angle_gamma 90.00
loop_
_atom_site_label
_atom_site_type_symbol
_atom_site_fract_x
_atom_site_fract_y
_atom_site_fract_z
Mn1 Mn 0.000 0.000 0.000
Ru1 Ru 0.000 0.500 0.750
Pt1 Pt 0.000 0.000 0.500
Pt2 Pt 0.000 0.500 0.250


Entry 2:
# Mn2SbPt | Alexandria via LeMat-Bulk | PBEsol | optimized geometry
# - spin magnetization (μB per cell) = 6.7
# - raw formation energy (eV per atom) = 0.109
# - energy (eV per atom) = -7.652
data_Mn2SbPt
_chemical_formula_sum 'Mn2 Sb1 Pt1'
_space_group_name_H-M_alt 'P 4 m m'
_space_group_IT_number 99
_cell_length_a 3.416
_cell_length_b 3.416
_cell_length_c 5.433
_cell_angle_alpha 90.00
_cell_angle_beta 90.00
_cell_angle_gamma 90.00
loop_
_space_group_symop_operation_xyz
'x,y,z'
'-y,x,z'
'-x,-y,z'
'y,-x,z'
'-x,y,z'
'y,x,z'
'x,-y,z'
'-y,-x,z'
loop_
_atom_site_label
_atom_site_type_symbol
_atom_site_fract_x
_atom_site_fract_y
_atom_site_fract_z
Mn1 Mn 0.000 0.000 0.000
Mn2 Mn 0.500 0.500 0.257
Sb1 Sb 0.500 0.500 0.764
Pt1 Pt 0.000 0.000 0.472